! Y2ZnAg | Alexandria via LeMat-Bulk | PBE-GGA | relaxed; values from VASP
! N(E_F): 3.03 states/eV/f.u.
! Total energy: -4.613 eV/atom
! ΔH_f (0 K): -349 meV per atom
&SYSTEM
  ibrav = 0, nat = 4, ntyp = 3
/
ATOMIC_SPECIES
Ag 107.87 Ag.upf
Y 88.91 Y.upf
Zn 65.41 Zn.upf
CELL_PARAMETERS angstrom
3.6103 0.0000 0.0000
0.0000 3.6297 -0.0012
0.0000 3.6169 7.1804
ATOMIC_POSITIONS angstrom
Ag 1.8051 5.4349 5.3844
Y 0.0000 3.6306 0.0483
Y 0.0000 3.6224 3.5401
Zn 1.8051 1.8116 1.7948